Tl2InCu | PBE | relaxed

Values from the calculation:
Space group: No. 47
Raw total energy (Ha/atom): -0.0964

abc: 4.587 4.658 4.674
angles: 90.00 90.00 90.00
Atoms (fractional coordinates):
Tl 0.000 0.000 0.000
Tl 0.500 0.500 0.000
Cu 0.500 0.000 0.500
In 0.000 0.500 0.500